(A)
Compound: TlCdOF2
Source: the Alexandria database
Functional: PBE
Structure: optimized geometry

Computed properties:
- Space-group type: P4/mmm (123)

Cell: 4.571 4.571 4.203 Å, 90.00 90.00 90.00°
Element x y z (fractional)
O  0.000  0.000  0.500
Cd  0.500  0.500  0.500
F  0.000  0.500  0.000
F  0.500  0.000  0.000
Tl  0.000  0.000  0.000

(B)
Compound: TlCdOF2
Source: the Alexandria database
Functional: PBE
Structure: optimized geometry

Computed properties:
- Space-group type: P4/mmm (123)

Cell: 4.450 4.450 4.423 Å, 90.00 90.00 90.00°
Element x y z (fractional)
F  0.000  0.500  0.000
F  0.500  0.000  0.000
O  0.000  0.000  0.500
Tl  0.500  0.500  0.500
Cd  0.000  0.000  0.000

Short version: (B) is the most stable of them.

(A)
Compound: ZnCdOF2
Source: the Alexandria database
Functional: PBE
Structure: optimized geometry

Computed properties:
- Space-group type: P4/mmm (123)

Cell: 4.283 4.283 4.371 Å, 90.00 90.00 90.00°
Element x y z (fractional)
O  0.000  0.000  0.500
F  0.000  0.500  0.000
F  0.500  0.000  0.000
Cd  0.000  0.000  0.000
Zn  0.500  0.500  0.500

(B)
Compound: ZnCdOF2
Source: the Alexandria database
Functional: PBE
Structure: optimized geometry

Computed properties:
- Space-group type: P4/mmm (123)

Cell: 3.952 3.952 4.122 Å, 90.00 90.00 90.00°
Element x y z (fractional)
Zn  0.000  0.000  0.000
F  0.000  0.500  0.000
F  0.500  0.000  0.000
Cd  0.500  0.500  0.500
O  0.000  0.000  0.500

Short version: (B) is the most stable of them.